No. 1
Here is an optimized crystal structure of LiV3F10 from Alexandria via LeMat-Bulk. Energies are from PBEsol.

Values from the calculation:
Raw formation energy: -2.78 eV per atom
Total moment: 12.00 Bohr magnetons per cell
SG: P2/c
ΔE to the lowest computed polymorph: 4 meV/atom
DOS(E_F): 6.21 states/eV/f.u.

Cell lengths 3.870, 6.080, 14.726 Å; angles 90.00, 90.13, 90.00 degrees
Atoms (fractional coordinates):
Li (0.000, 0.000, 0.000)
Li (0.000, 0.000, 0.500)
V (0.000, 0.013, 0.250)
V (0.000, 0.987, 0.750)
V (0.003, 0.458, 0.887)
V (0.003, 0.542, 0.387)
V (0.997, 0.458, 0.613)
V (0.997, 0.542, 0.113)
F (0.000, 0.374, 0.750)
F (0.000, 0.626, 0.250)
F (0.002, 0.129, 0.627)
F (0.002, 0.871, 0.127)
F (0.008, 0.314, 0.011)
F (0.008, 0.686, 0.511)
F (0.016, 0.260, 0.332)
F (0.016, 0.740, 0.832)
F (0.498, 0.451, 0.610)
F (0.498, 0.549, 0.110)
F (0.500, 0.001, 0.750)
F (0.500, 0.999, 0.250)
F (0.502, 0.451, 0.890)
F (0.502, 0.549, 0.390)
F (0.984, 0.260, 0.168)
F (0.984, 0.740, 0.668)
F (0.992, 0.314, 0.489)
F (0.992, 0.686, 0.989)
F (0.998, 0.129, 0.873)
F (0.998, 0.871, 0.373)

=====

No. 2
Here is an optimized crystal structure of Li2VF4 from Alexandria via LeMat-Bulk. Energies are from PBEsol.

Values from the calculation:
Raw formation energy: -2.68 eV per atom
Total moment: 6.00 Bohr magnetons per cell
SG: P2/c
ΔE to the lowest computed polymorph: 20 meV/atom

Cell lengths 5.142, 3.124, 10.296 Å; angles 90.00, 114.19, 90.00 degrees
Atoms (fractional coordinates):
Li (0.158, 0.002, 0.421)
Li (0.158, 0.998, 0.921)
Li (0.842, 0.002, 0.079)
Li (0.842, 0.998, 0.579)
V (0.500, 0.498, 0.750)
V (0.500, 0.502, 0.250)
F (0.249, 0.002, 0.125)
F (0.249, 0.998, 0.625)
F (0.265, 0.498, 0.868)
F (0.265, 0.502, 0.368)
F (0.735, 0.498, 0.632)
F (0.735, 0.502, 0.132)
F (0.751, 0.002, 0.375)
F (0.751, 0.998, 0.875)

=====

No. 3
Here is an optimized crystal structure of Li2V3F8 from Alexandria via LeMat-Bulk. Energies are from PBEsol.

Values from the calculation:
Raw formation energy: -2.49 eV per atom
Total moment: 9.00 Bohr magnetons per cell
SG: R-3m

Cell lengths 6.053, 6.053, 6.053 Å; angles 61.27, 61.27, 61.27 degrees
Atoms (fractional coordinates):
Li (0.121, 0.121, 0.121)
Li (0.879, 0.879, 0.879)
V (0.000, 0.500, 0.500)
V (0.500, 0.000, 0.500)
V (0.500, 0.500, 0.000)
F (0.097, 0.097, 0.584)
F (0.097, 0.584, 0.097)
F (0.402, 0.402, 0.402)
F (0.416, 0.903, 0.903)
F (0.584, 0.097, 0.097)
F (0.598, 0.598, 0.598)
F (0.903, 0.416, 0.903)
F (0.903, 0.903, 0.416)

=====

No. 4
Here is an optimized crystal structure of LiVF5 from Alexandria via LeMat-Bulk. Energies are from PBEsol.

Values from the calculation:
Raw formation energy: -2.86 eV per atom
Total moment: 4.00 Bohr magnetons per cell
SG: P2_1/c
ΔE to the lowest computed polymorph: 32 meV/atom
DOS(E_F): 5.06 states/eV/f.u.

Cell lengths 5.917, 8.509, 8.893 Å; angles 90.00, 129.01, 90.00 degrees
Atoms (fractional coordinates):
Li (0.115, 0.054, 0.323)
Li (0.115, 0.446, 0.823)
Li (0.885, 0.554, 0.177)
Li (0.885, 0.946, 0.677)
V (0.412, 0.134, 0.075)
V (0.412, 0.366, 0.575)
V (0.588, 0.634, 0.425)
V (0.588, 0.866, 0.925)
F (0.074, 0.132, 0.827)
F (0.074, 0.368, 0.327)
F (0.226, 0.611, 0.198)
F (0.226, 0.889, 0.698)
F (0.241, 0.128, 0.183)
F (0.241, 0.372, 0.683)
F (0.400, 0.595, 0.541)
F (0.400, 0.905, 0.041)
F (0.427, 0.154, 0.560)
F (0.427, 0.346, 0.060)
F (0.573, 0.654, 0.940)
F (0.573, 0.846, 0.440)
F (0.600, 0.095, 0.959)
F (0.600, 0.405, 0.459)
F (0.759, 0.628, 0.317)
F (0.759, 0.872, 0.817)
F (0.774, 0.111, 0.302)
F (0.774, 0.389, 0.802)
F (0.926, 0.632, 0.673)
F (0.926, 0.868, 0.173)

=====

No. 5
Here is an optimized crystal structure of LiVF5 from Alexandria via LeMat-Bulk. Energies are from PBEsol.

Values from the calculation:
Raw formation energy: -2.90 eV per atom
Total moment: 2.00 Bohr magnetons per cell
SG: C2/c
ΔE to the lowest computed polymorph: 0 meV/atom
DOS(E_F): 2.83 states/eV/f.u.

Cell lengths 5.211, 5.211, 7.434 Å; angles 111.30, 111.30, 76.94 degrees
Atoms (fractional coordinates):
Li (0.045, 0.955, 0.750)
Li (0.955, 0.045, 0.250)
V (0.500, 0.500, 0.000)
V (0.500, 0.500, 0.500)
F (0.202, 0.751, 0.536)
F (0.221, 0.281, 0.868)
F (0.249, 0.798, 0.964)
F (0.281, 0.221, 0.368)
F (0.441, 0.559, 0.250)
F (0.559, 0.441, 0.750)
F (0.719, 0.779, 0.632)
F (0.751, 0.202, 0.036)
F (0.779, 0.719, 0.132)
F (0.798, 0.249, 0.464)

=====

No. 6
Here is an optimized crystal structure of Li2VF4 from Alexandria via LeMat-Bulk. Energies are from PBEsol.

Values from the calculation:
Raw formation energy: -2.65 eV per atom
Total moment: 3.00 Bohr magnetons per cell
SG: Cmmm
ΔE to the lowest computed polymorph: 56 meV/atom

Cell lengths 5.124, 5.124, 3.050 Å; angles 90.00, 90.00, 111.85 degrees
Atoms (fractional coordinates):
Li (0.000, 0.500, 0.000)
Li (0.500, 0.000, 0.000)
V (0.000, 0.000, 0.500)
F (0.236, 0.236, 0.000)
F (0.240, 0.760, 0.500)
F (0.760, 0.240, 0.500)
F (0.764, 0.764, 0.000)

=====

No. 7
Here is an optimized crystal structure of LiVF5 from Alexandria via LeMat-Bulk. Energies are from PBEsol.

Values from the calculation:
Raw formation energy: -2.81 eV per atom
Total moment: 4.00 Bohr magnetons per cell
SG: Pnma
ΔE to the lowest computed polymorph: 83 meV/atom
DOS(E_F): 0.96 states/eV/f.u.

Cell lengths 7.380, 5.186, 9.686 Å; angles 90.00, 90.00, 90.00 degrees
Atoms (fractional coordinates):
Li (0.029, 0.250, 0.096)
Li (0.471, 0.750, 0.596)
Li (0.529, 0.250, 0.404)
Li (0.971, 0.750, 0.904)
V (0.180, 0.750, 0.358)
V (0.320, 0.250, 0.858)
V (0.680, 0.750, 0.142)
V (0.820, 0.250, 0.642)
F (0.016, 0.250, 0.549)
F (0.149, 0.510, 0.225)
F (0.149, 0.990, 0.225)
F (0.161, 0.021, 0.936)
F (0.161, 0.479, 0.936)
F (0.339, 0.521, 0.436)
F (0.339, 0.979, 0.436)
F (0.351, 0.010, 0.725)
F (0.351, 0.490, 0.725)
F (0.484, 0.750, 0.049)
F (0.516, 0.250, 0.951)
F (0.649, 0.510, 0.275)
F (0.649, 0.990, 0.275)
F (0.661, 0.021, 0.564)
F (0.661, 0.479, 0.564)
F (0.839, 0.521, 0.064)
F (0.839, 0.979, 0.064)
F (0.851, 0.010, 0.775)
F (0.851, 0.490, 0.775)
F (0.984, 0.750, 0.451)

=====

No. 8
Here is an optimized crystal structure of LiV2F7 from Alexandria via LeMat-Bulk. Energies are from PBEsol.

Values from the calculation:
Raw formation energy: -2.85 eV per atom
Total moment: 8.00 Bohr magnetons per cell
SG: Imma
ΔE to the lowest computed polymorph: 0 meV/atom
DOS(E_F): 7.27 states/eV/f.u.

Cell lengths 7.287, 7.287, 7.287 Å; angles 120.08, 87.55, 122.79 degrees
Atoms (fractional coordinates):
Li (0.000, 0.000, 0.000)
Li (0.500, 0.000, 0.500)
V (0.000, 0.500, 0.500)
V (0.500, 0.000, 0.000)
V (0.500, 0.500, 0.000)
V (0.500, 0.500, 0.500)
F (0.182, 0.367, 0.424)
F (0.182, 0.758, 0.815)
F (0.195, 0.245, 0.950)
F (0.205, 0.755, 0.450)
F (0.406, 0.156, 0.250)
F (0.443, 0.367, 0.685)
F (0.443, 0.758, 0.076)
F (0.557, 0.242, 0.924)
F (0.557, 0.633, 0.315)
F (0.594, 0.844, 0.750)
F (0.795, 0.245, 0.550)
F (0.805, 0.755, 0.050)
F (0.818, 0.242, 0.185)
F (0.818, 0.633, 0.576)

=====

No. 9
Here is an optimized crystal structure of LiVF3 from Alexandria via LeMat-Bulk. Energies are from PBEsol.

Values from the calculation:
Raw formation energy: -2.52 eV per atom
Total moment: 6.00 Bohr magnetons per cell
SG: P6_3/mmc
ΔE to the lowest computed polymorph: 89 meV/atom
DOS(E_F): 0.23 states/eV/f.u.

Cell lengths 5.667, 5.667, 5.795 Å; angles 90.00, 90.00, 120.00 degrees
Atoms (fractional coordinates):
Li (0.333, 0.667, 0.250)
Li (0.667, 0.333, 0.750)
V (0.000, 0.000, 0.000)
V (0.000, 0.000, 0.500)
F (0.151, 0.301, 0.250)
F (0.151, 0.849, 0.250)
F (0.301, 0.151, 0.750)
F (0.699, 0.849, 0.250)
F (0.849, 0.151, 0.750)
F (0.849, 0.699, 0.750)

=====

No. 10
Here is an optimized crystal structure of LiV3F10 from Alexandria via LeMat-Bulk. Energies are from PBEsol.

Values from the calculation:
Raw formation energy: -2.78 eV per atom
Total moment: 12.00 Bohr magnetons per cell
SG: Pmma
ΔE to the lowest computed polymorph: 0 meV/atom
DOS(E_F): 6.77 states/eV/f.u.

Cell lengths 7.443, 7.282, 6.222 Å; angles 90.00, 90.00, 90.00 degrees
Atoms (fractional coordinates):
Li (0.250, 0.000, 0.151)
Li (0.750, 0.000, 0.849)
V (0.000, 0.234, 0.500)
V (0.000, 0.500, 0.000)
V (0.000, 0.766, 0.500)
V (0.500, 0.234, 0.500)
V (0.500, 0.500, 0.000)
V (0.500, 0.766, 0.500)
F (0.000, 0.500, 0.500)
F (0.055, 0.000, 0.331)
F (0.060, 0.302, 0.198)
F (0.060, 0.698, 0.198)
F (0.250, 0.224, 0.591)
F (0.250, 0.500, 0.916)
F (0.250, 0.776, 0.591)
F (0.440, 0.302, 0.198)
F (0.440, 0.698, 0.198)
F (0.445, 0.000, 0.331)
F (0.500, 0.500, 0.500)
F (0.555, 0.000, 0.669)
F (0.560, 0.302, 0.802)
F (0.560, 0.698, 0.802)
F (0.750, 0.224, 0.409)
F (0.750, 0.500, 0.084)
F (0.750, 0.776, 0.409)
F (0.940, 0.302, 0.802)
F (0.940, 0.698, 0.802)
F (0.945, 0.000, 0.669)

=====

No. 11
Here is an optimized crystal structure of Li2V2F7 from Alexandria via LeMat-Bulk. Energies are from PBEsol.

Values from the calculation:
Raw formation energy: -2.77 eV per atom
Total moment: 20.00 Bohr magnetons per cell
SG: P2_1/c
ΔE to the lowest computed polymorph: 0 meV/atom
DOS(E_F): 7.46 states/eV/f.u.

Cell lengths 7.519, 7.058, 10.084 Å; angles 90.00, 90.45, 90.00 degrees
Atoms (fractional coordinates):
Li (0.158, 0.137, 0.139)
Li (0.158, 0.363, 0.639)
Li (0.341, 0.138, 0.360)
Li (0.341, 0.362, 0.860)
Li (0.659, 0.638, 0.140)
Li (0.659, 0.862, 0.640)
Li (0.842, 0.637, 0.361)
Li (0.842, 0.863, 0.861)
V (0.115, 0.633, 0.084)
V (0.115, 0.867, 0.584)
V (0.386, 0.633, 0.416)
V (0.386, 0.867, 0.916)
V (0.614, 0.133, 0.084)
V (0.614, 0.367, 0.584)
V (0.885, 0.133, 0.416)
V (0.885, 0.367, 0.916)
F (0.050, 0.144, 0.574)
F (0.050, 0.356, 0.074)
F (0.101, 0.172, 0.315)
F (0.101, 0.328, 0.815)
F (0.177, 0.594, 0.543)
F (0.177, 0.906, 0.043)
F (0.251, 0.617, 0.250)
F (0.251, 0.883, 0.750)
F (0.323, 0.594, 0.957)
F (0.323, 0.906, 0.457)
F (0.398, 0.172, 0.185)
F (0.398, 0.328, 0.685)
F (0.450, 0.145, 0.926)
F (0.450, 0.355, 0.426)
F (0.550, 0.645, 0.574)
F (0.550, 0.855, 0.074)
F (0.602, 0.672, 0.315)
F (0.602, 0.828, 0.815)
F (0.677, 0.094, 0.543)
F (0.677, 0.406, 0.043)
F (0.749, 0.117, 0.250)
F (0.749, 0.383, 0.750)
F (0.823, 0.094, 0.957)
F (0.823, 0.406, 0.457)
F (0.899, 0.672, 0.185)
F (0.899, 0.828, 0.685)
F (0.950, 0.644, 0.926)
F (0.950, 0.856, 0.426)

=====

No. 12
Here is an optimized crystal structure of Li4VF8 from Alexandria via LeMat-Bulk. Energies are from PBEsol.

Values from the calculation:
Raw formation energy: -2.88 eV per atom
Total moment: 4.00 Bohr magnetons per cell
SG: Pnma
ΔE to the lowest computed polymorph: 16 meV/atom

Cell lengths 9.257, 9.224, 5.547 Å; angles 90.00, 90.00, 90.00 degrees
Atoms (fractional coordinates):
Li (0.107, 0.080, 0.128)
Li (0.107, 0.420, 0.128)
Li (0.131, 0.064, 0.618)
Li (0.131, 0.436, 0.618)
Li (0.369, 0.564, 0.118)
Li (0.369, 0.936, 0.118)
Li (0.393, 0.580, 0.628)
Li (0.393, 0.920, 0.628)
Li (0.607, 0.080, 0.372)
Li (0.607, 0.420, 0.372)
Li (0.631, 0.064, 0.882)
Li (0.631, 0.436, 0.882)
Li (0.869, 0.564, 0.382)
Li (0.869, 0.936, 0.382)
Li (0.893, 0.580, 0.872)
Li (0.893, 0.920, 0.872)
V (0.134, 0.750, 0.374)
V (0.366, 0.250, 0.874)
V (0.634, 0.750, 0.126)
V (0.866, 0.250, 0.626)
F (0.023, 0.620, 0.157)
F (0.023, 0.880, 0.157)
F (0.025, 0.625, 0.595)
F (0.025, 0.875, 0.595)
F (0.228, 0.250, 0.125)
F (0.234, 0.250, 0.618)
F (0.236, 0.540, 0.375)
F (0.236, 0.960, 0.375)
F (0.264, 0.040, 0.875)
F (0.264, 0.460, 0.875)
F (0.266, 0.750, 0.118)
F (0.272, 0.750, 0.625)
F (0.475, 0.125, 0.095)
F (0.475, 0.375, 0.095)
F (0.477, 0.120, 0.657)
F (0.477, 0.380, 0.657)
F (0.523, 0.620, 0.343)
F (0.523, 0.880, 0.343)
F (0.525, 0.625, 0.905)
F (0.525, 0.875, 0.905)
F (0.728, 0.250, 0.375)
F (0.734, 0.250, 0.882)
F (0.736, 0.540, 0.125)
F (0.736, 0.960, 0.125)
F (0.764, 0.040, 0.625)
F (0.764, 0.460, 0.625)
F (0.766, 0.750, 0.382)
F (0.772, 0.750, 0.875)
F (0.975, 0.125, 0.405)
F (0.975, 0.375, 0.405)
F (0.977, 0.120, 0.843)
F (0.977, 0.380, 0.843)